Entry 1:
DFT (PBE) results for SrHo2CuO5 after structural relaxation.

Calculated values
Size of the total moment = 0.11 μB/atom
V = 484 Å³/cell
Energy relative to the elements, uncorrected = -2712 meV/atom
Mass density = 7.70 g/cm³

a = 5.6194 Å, b = 7.1484 Å, c = 12.0450 Å
α = 90.00°, β = 90.00°, γ = 90.00°
Last column: magnetic moment on the atom in μB.
Element x y z (fractional)
Sr  0.7500  0.4209  0.5882  0.00
O  0.5048  0.1497  0.7243  0.10
Ho  0.7500  0.6132  0.2135  -0.02
O  0.9934  0.1635  0.4330  0.10
O  0.7500  0.9242  0.9056  0.00
O  0.7500  0.5758  0.4056  0.00
Sr  0.2500  0.9209  0.9118  0.00
Cu  0.7500  0.2793  0.3372  0.55
Ho  0.7500  0.6053  0.9267  0.07
O  0.9952  0.3503  0.2243  0.10
Sr  0.7500  0.0791  0.0882  0.00
O  0.0048  0.6497  0.7757  0.10
O  0.4952  0.8503  0.2757  0.10
O  0.2500  0.0758  0.0944  0.00
Sr  0.2500  0.5791  0.4118  0.00
O  0.5048  0.3503  0.2243  0.10
Ho  0.2500  0.1053  0.5733  0.07
Cu  0.7500  0.2207  0.8372  0.55
O  0.9934  0.3365  0.9330  0.10
O  0.0066  0.8365  0.5670  0.10
O  0.0066  0.6635  0.0670  0.10
Ho  0.2500  0.1132  0.2865  -0.02
O  0.9952  0.1497  0.7243  0.10
O  0.0048  0.8503  0.2757  0.10
O  0.5066  0.1635  0.4330  0.10
O  0.5066  0.3365  0.9330  0.10
Cu  0.2500  0.7793  0.1628  0.55
Ho  0.2500  0.3947  0.0733  0.07
O  0.2500  0.4242  0.5944  0.00
O  0.4952  0.6497  0.7757  0.10
O  0.4934  0.8365  0.5670  0.10
Ho  0.7500  0.8868  0.7135  -0.02
O  0.4934  0.6635  0.0670  0.10
Ho  0.7500  0.8947  0.4267  0.07
Ho  0.2500  0.3868  0.7865  -0.02
Cu  0.2500  0.7207  0.6628  0.55

=====

Entry 2:
DFT (PBE) results for SrHo2CuO5 after structural relaxation.

Calculated values
Size of the total moment = 0.11 μB/atom
V = 236 Å³/cell
Energy relative to the elements, uncorrected = -2643 meV/atom
Mass density = 7.88 g/cm³

a = 6.4406 Å, b = 6.4406 Å, c = 7.2965 Å
α = 116.19°, β = 116.19°, γ = 90.00°
Last column: magnetic moment on the atom in μB.
Element x y z (fractional)
O  0.0000  0.0000  0.0000  0.05
Ho  0.8279  0.6721  0.0000  0.02
Cu  0.7500  0.2500  0.5000  0.52
Sr  0.7500  0.7500  0.5000  0.00
O  0.7272  0.2272  0.7467  0.10
O  0.4805  0.2728  0.2533  0.10
O  0.2728  0.7728  0.2533  0.10
O  0.9805  0.4805  0.2533  0.10
O  0.0195  0.5195  0.7467  0.10
O  0.5000  0.5000  0.0000  0.05
O  0.5195  0.7272  0.7467  0.10
Cu  0.2500  0.7500  0.5000  0.52
Ho  0.3279  0.8279  0.0000  0.02
O  0.7728  0.9805  0.2533  0.10
O  0.2272  0.0195  0.7467  0.10
Ho  0.6721  0.1721  0.0000  0.02
Sr  0.2500  0.2500  0.5000  0.00
Ho  0.1721  0.3279  0.0000  0.02

=====

Entry 3:
DFT (PBE) results for Sr2HoCuO4 after structural relaxation.

Calculated values
Size of the total moment = 0.01 μB/atom
V = 120 Å³/cell
Energy relative to the elements, uncorrected = -2327 meV/atom
Mass density = 6.46 g/cm³

a = 3.4832 Å, b = 6.0948 Å, c = 6.0860 Å
α = 111.44°, β = 90.00°, γ = 90.00°
Element x y z (fractional)
Ho  0.5000  0.5000  0.0000
Sr  0.5000  0.0000  0.5000
O  0.5000  0.2586  0.2232
Sr  0.0000  0.5000  0.5000
O  0.0000  0.7171  0.2352
Cu  0.0000  0.0000  0.0000
O  0.0000  0.2829  0.7648
O  0.5000  0.7414  0.7768

=====

Entry 4:
DFT (PBE) results for Sr2HoCuO5 after structural relaxation.

Calculated values
Size of the total moment = 0.00 μB/atom
V = 260 Å³/cell
Energy relative to the elements, uncorrected = -2292 meV/atom
Mass density = 6.17 g/cm³

a = 3.4727 Å, b = 6.8444 Å, c = 11.3260 Å
α = 90.00°, β = 90.00°, γ = 104.70°
Element x y z (fractional)
Cu  0.4801  0.9602  0.4447
Sr  0.1474  0.2948  0.3100
O  0.5155  0.0311  0.2796
Ho  0.2057  0.4113  0.0260
Sr  0.0922  0.1844  0.6853
O  0.3755  0.7509  0.9865
Ho  0.7943  0.5887  0.5260
Cu  0.5199  0.0398  0.9447
O  0.7247  0.4494  0.1549
O  0.0425  0.0850  0.0394
Sr  0.9078  0.8156  0.1853
O  0.4845  0.9689  0.7796
O  0.6652  0.3305  0.8976
O  0.9575  0.9150  0.5394
Sr  0.8526  0.7052  0.8100
O  0.2753  0.5506  0.6549
O  0.6245  0.2491  0.4865
O  0.3348  0.6695  0.3976

=====

Entry 5:
DFT (PBE) results for Ho2Ti12Cu9O36 after structural relaxation.

Calculated values
Size of the total moment = 0.15 μB/atom
V = 617 Å³/cell
Energy relative to the elements, uncorrected = -2287 meV/atom
Mass density = 5.52 g/cm³

a = 6.4522 Å, b = 10.5107 Å, c = 10.5107 Å
α = 120.00°, β = 90.00°, γ = 90.00°
Last column: magnetic moment on the atom in μB.
Element x y z (fractional)
Cu  0.0000  0.5000  0.5000  0.55
Ti  0.5000  0.5000  0.5000  0.07
Ti  0.8376  0.8385  0.1574  0.07
O  0.0897  0.2696  0.2251  0.06
Ti  0.1624  0.6811  0.8385  0.07
O  0.9829  0.5097  0.1930  0.08
O  0.6447  0.1769  0.5276  0.08
Cu  0.6603  0.1685  0.3374  0.56
O  0.4117  0.5877  0.8808  0.09
O  0.4117  0.2931  0.4123  0.09
Ti  0.8416  0.3333  0.6667  0.07
Ti  0.8376  0.3189  0.1615  0.07
O  0.6695  0.1650  0.1486  0.06
O  0.3553  0.6493  0.1769  0.08
O  0.4117  0.1192  0.7069  0.09
O  0.2503  0.3745  0.9242  0.08
O  0.3553  0.8231  0.4724  0.08
Ho  0.3303  0.3333  0.6667  -0.01
O  0.3305  0.1486  0.9836  0.06
O  0.3553  0.5276  0.3507  0.08
Ti  0.5000  0.0000  0.0000  0.07
Cu  0.3397  0.3374  0.1688  0.56
O  0.6447  0.4724  0.6493  0.08
O  0.6447  0.3507  0.8231  0.08
O  0.6695  0.9836  0.8350  0.06
Cu  0.3397  0.8315  0.6626  0.56
O  0.0171  0.3168  0.5097  0.08
Cu  0.0000  0.5000  0.0000  0.55
O  0.7497  0.6255  0.0758  0.08
O  0.7497  0.4503  0.3745  0.08
O  0.9103  0.2251  0.9555  0.06
O  0.0171  0.1930  0.6832  0.08
Ho  0.6697  0.6667  0.3333  -0.01
Ti  0.1624  0.1615  0.8426  0.07
Ti  0.1624  0.1574  0.3189  0.07
Ti  0.5000  0.5000  0.0000  0.07
O  0.2503  0.0758  0.4503  0.08
O  0.5883  0.7069  0.5877  0.09
Cu  0.6603  0.1688  0.8315  0.56
O  0.3305  0.0164  0.1650  0.06
O  0.0897  0.9555  0.7304  0.06
O  0.9103  0.7304  0.7749  0.06
Ti  0.1584  0.6667  0.3333  0.07
O  0.3305  0.8350  0.8514  0.06
Ti  0.5000  0.0000  0.5000  0.07
O  0.0897  0.7749  0.0445  0.06
O  0.2503  0.5497  0.6255  0.08
O  0.0171  0.4903  0.8070  0.08
O  0.5883  0.8808  0.2931  0.09
Cu  0.6603  0.6626  0.8312  0.56
O  0.5883  0.4123  0.1192  0.09
Cu  0.3397  0.8312  0.1685  0.56
O  0.7497  0.9242  0.5497  0.08
O  0.9103  0.0445  0.2696  0.06
O  0.6695  0.8514  0.0164  0.06
O  0.9829  0.8070  0.3168  0.08
Cu  0.0000  0.0000  0.5000  0.55
Ti  0.8376  0.8426  0.6811  0.07
O  0.9829  0.6832  0.4903  0.08

=====

Entry 6:
DFT (PBE) results for HoUCu2O8 after structural relaxation.

Calculated values
Size of the total moment = 0.24 μB/atom
V = 158 Å³/cell
Energy relative to the elements, uncorrected = -1740 meV/atom
Mass density = 6.93 g/cm³

a = 5.8948 Å, b = 5.8948 Å, c = 5.8948 Å
α = 108.70°, β = 108.70°, γ = 111.03°
Last column: magnetic moment on the atom in μB.
Element x y z (fractional)
O  0.2937  0.1191  0.8254  0.20
O  0.2937  0.4683  0.1746  0.20
O  0.9491  0.2540  0.3049  0.18
O  0.9491  0.6442  0.6951  0.18
O  0.7460  0.0509  0.6951  0.18
Ho  0.2500  0.7500  0.5000  0.03
Cu  0.5000  0.5000  0.0000  0.49
Cu  0.7500  0.2500  0.5000  0.60
O  0.3558  0.0509  0.3049  0.18
O  0.8809  0.7063  0.1746  0.20
O  0.5317  0.7063  0.8254  0.20
U  0.0000  0.0000  0.0000  0.06